No. 1
10
Lattice="9.0545 -2.1042 0.0000 9.0545 2.1042 0.0000 -0.0146 0.0000 7.0250" Properties=species:S:1:pos:R:3 comment="PuTeS3 (PBE-GGA, optimized geometry)" energy_ev_per_atom=-6.697 raw_formation_energy_ev_per_atom=-0.726 pbc="T T T"
Pu 4.2140 0.0000 1.7709
Pu 13.8804 0.0000 5.2541
Te 8.7786 0.0000 1.4558
Te 9.3158 0.0000 5.5692
S 0.9775 0.0000 1.8587
S 3.3863 0.0000 6.2328
S 5.8586 0.0000 3.8913
S 12.2357 0.0000 3.1338
S 14.7081 0.0000 0.7922
S 17.1169 0.0000 5.1663

No. 2
20
Lattice="10.7289 0.0000 0.0000 -5.3644 9.2915 0.0000 0.0000 0.0000 6.2588" Properties=species:S:1:pos:R:3 comment="Ho7Tm3 (PBE-GGA, optimized geometry)" energy_ev_per_atom=-4.342 e_form_kj_per_mol_atoms=19.7 pbc="T T T"
Ho -2.2143 4.9159 0.0000
Ho 0.0000 2.2078 0.9555
Ho -3.4524 8.1876 0.9555
Ho 1.9120 1.1039 4.0849
Ho 0.0000 6.1943 1.7119
Ho 2.2143 4.9159 0.0000
Ho 0.0000 8.7512 0.0000
Ho 5.3644 0.5403 3.1294
Ho 3.1501 4.3756 3.1294
Ho 5.3644 3.0972 4.8413
Ho 3.4524 8.1876 0.9555
Ho 8.8168 1.1039 4.0849
Ho 5.3644 7.0837 4.0849
Ho 7.5788 4.3756 3.1294
Tm 0.0000 3.9395 4.0109
Tm -1.9527 7.3217 4.0109
Tm 3.4117 1.9697 0.8815
Tm 1.9527 7.3217 4.0109
Tm 7.3172 1.9697 0.8815
Tm 5.3644 5.3520 0.8815

No. 3
4
Lattice="1.5625 0.9021 11.7793 -1.5625 0.9021 11.7793 0.0000 -1.8043 11.7793" Properties=species:S:1:pos:R:3 comment="USn2Ge (PBE-GGA, optimized geometry)" energy_ev_per_atom=-5.550 e_form_kj_per_mol_atoms=41.3 pbc="T T T"
U 0.0000 0.0000 0.0000
Sn 0.0000 0.0000 3.2359
Sn 0.0000 0.0000 32.1020
Ge 0.0000 0.0000 17.6690

No. 4
8
Lattice="3.9428 0.0000 0.0000 0.0000 3.9428 0.0000 0.0000 0.0000 9.4580" Properties=species:S:1:pos:R:3 comment="BaCu4SeS2 (PBE-GGA, optimized geometry)" energy_ev_per_atom=-4.328 raw_formation_energy_ev_per_atom=-0.572 pbc="T T T"
Ba 0.0000 0.0000 0.0000
Cu 0.0000 1.9714 3.0739
Cu 0.0000 1.9714 6.3841
Cu 1.9714 0.0000 3.0739
Cu 1.9714 0.0000 6.3841
Se 0.0000 0.0000 4.7290
S 1.9714 1.9714 1.7854
S 1.9714 1.9714 7.6726

No. 5
16
Lattice="4.0056 0.0000 0.0000 0.0000 4.0056 0.0000 0.0000 0.0000 15.7534" Properties=species:S:1:pos:R:3 comment="GePd12Au3 (PBE-GGA, optimized geometry)" energy_ev_per_atom=-4.919 e_form_kj_per_mol_atoms=-11.7 pbc="T T T"
Ge 0.0000 0.0000 0.0000
Pd 0.0000 2.0028 1.8503
Pd 0.0000 2.0028 5.8763
Pd 0.0000 2.0028 9.8771
Pd 0.0000 2.0028 13.9031
Pd 2.0028 0.0000 1.8503
Pd 2.0028 0.0000 5.8763
Pd 2.0028 0.0000 9.8771
Pd 2.0028 0.0000 13.9031
Pd 2.0028 2.0028 0.0000
Pd 2.0028 2.0028 3.8760
Pd 2.0028 2.0028 7.8767
Pd 2.0028 2.0028 11.8774
Au 0.0000 0.0000 3.8751
Au 0.0000 0.0000 7.8767
Au 0.0000 0.0000 11.8783

No. 6
10
Lattice="6.0977 0.0000 0.0000 0.0000 2.4889 0.0000 -2.6923 0.0000 7.9356" Properties=species:S:1:pos:R:3 comment="V2Ni7Ge (PBE-GGA, optimized geometry)" energy_ev_per_atom=-6.232 e_form_kj_per_mol_atoms=9.6 pbc="T T T"
V -0.4813 0.0000 3.0479
V 3.8867 0.0000 4.8876
Ni -1.5899 1.2445 7.0526
Ni 1.0345 0.0000 1.3017
Ni 0.1105 0.0000 5.5170
Ni 3.0489 0.0000 0.0000
Ni 3.2950 0.0000 2.4185
Ni 2.3709 0.0000 6.6339
Ni 4.9954 1.2445 0.8830
Ge 1.7027 1.2445 3.9678